Arrangement A

DFT (PBE-GGA) results for an optimized crystal structure of KNaNi2.

As for the crystal system: tetragonal. As for the total magnetic moment: 4.02 Bohr magnetons per cell. Its density of states at the Fermi level is 3.41 states/eV/f.u.

It has space group I-42d (No. 122), with a = 4.6211 Å, b = 4.6211 Å, c = 19.7641 Å, α = 90.00°, β = 90.00° and γ = 90.00°. Symmetry generates all atoms from K at (0.0000, 0.0000, 0.0000), Na at (0.0000, 0.0000, 0.5000) and Ni at (0.0292, 0.2500, 0.6250).

---

Arrangement B

DFT (PBE-GGA) results for an optimized crystal structure of KNaNi2.

As for the crystal system: cubic. As for the total magnetic moment: 4.29 Bohr magnetons per cell. Its density of states at the Fermi level is 4.78 states/eV/f.u.

It has space group Fm-3m (No. 225), with a = 7.1115 Å, b = 7.1115 Å, c = 7.1115 Å, α = 90.00°, β = 90.00° and γ = 90.00°. Symmetry generates all atoms from K at (0.0000, 0.0000, 0.0000), Na at (0.0000, 0.0000, 0.5000) and Ni at (0.2500, 0.2500, 0.2500).

---

Energetically preferred structure: arrangement A | next structure: +23.4 kJ/mol of atoms